LaFeMo: optimized geometry, GGA-PBE.

Geometry as POSCAR:
```
LaFeMo
1.0
4.452 0.000 0.000
2.226 3.856 0.000
2.226 1.285 3.635
Mo Fe La
1 1 1
direct
0.000 0.000 0.000
0.500 0.500 0.500
0.750 0.750 0.750
```

Summary:
- energy of formation from the pure elements (eV per atom) = 1.58
- uncorrected energy (eV per atom) = -6.4922
- offset from the most stable computed form (eV/atom) = 1.278
- DOS at the Fermi energy (states/eV per cell) = 5.748